1.
Here is a relaxed structure of Sn2P2O7 from Alexandria via LeMat-Bulk. Energies are from PBE-GGA.

Results
- Raw formation energy: -20.7 eV per formula unit
- Energy relative to the lowest polymorph listed for this composition: 45 meV/atom
- VASP energy: -6.7485 eV/atom
- SG: C2/c, No. 15
- Spin magnetization: 0.0 μB/cell
- Crystal system: monoclinic

The structure in POSCAR format:
```
Sn2P2O7
1.0
3.535 -4.370 0.000
3.535 4.370 0.000
-1.392 0.000 11.420
Sn P O
4 4 14
Direct
0.168 0.773 0.948
0.227 0.832 0.552
0.773 0.168 0.448
0.832 0.227 0.052
0.265 0.354 0.288
0.354 0.265 0.788
0.646 0.735 0.212
0.735 0.646 0.712
0.091 0.397 0.382
0.133 0.202 0.178
0.202 0.133 0.678
0.255 0.480 0.838
0.373 0.627 0.250
0.397 0.091 0.882
0.480 0.255 0.338
0.520 0.745 0.662
0.603 0.909 0.118
0.627 0.373 0.750
0.745 0.520 0.162
0.798 0.867 0.322
0.867 0.798 0.822
0.909 0.603 0.618
```

2.
Here is a relaxed structure of Sn2P3O10 from Alexandria via LeMat-Bulk. Energies are from PBE-GGA.

Results
- Raw formation energy: -27.6 eV per formula unit
- Energy relative to the lowest polymorph listed for this composition: 57 meV/atom
- VASP energy: -6.7603 eV/atom
- SG: C2/c, No. 15
- Spin magnetization: 0.0 μB/cell
- Crystal system: monoclinic

The structure in POSCAR format:
```
Sn2P3O10
1.0
5.640 -5.263 0.000
5.640 5.263 0.000
-5.622 0.000 9.164
Sn P O
4 6 20
Direct
0.136 0.187 0.099
0.187 0.136 0.599
0.813 0.864 0.401
0.864 0.813 0.901
0.116 0.554 0.831
0.441 0.559 0.750
0.446 0.884 0.669
0.554 0.116 0.331
0.559 0.441 0.250
0.884 0.446 0.169
0.032 0.353 0.265
0.102 0.339 0.765
0.105 0.642 0.981
0.325 0.626 0.852
0.339 0.102 0.265
0.352 0.391 0.151
0.353 0.032 0.765
0.358 0.895 0.519
0.374 0.675 0.648
0.391 0.352 0.651
0.609 0.648 0.349
0.626 0.325 0.352
0.642 0.105 0.481
0.647 0.968 0.235
0.648 0.609 0.849
0.661 0.898 0.735
0.675 0.374 0.148
0.895 0.358 0.019
0.898 0.661 0.235
0.968 0.647 0.735
```

3.
Here is a relaxed structure of SnPO2 from Alexandria via LeMat-Bulk. Energies are from PBE-GGA.

Results
- Raw formation energy: -1.9 eV per formula unit
- Energy relative to the lowest polymorph listed for this composition: 218 meV/atom
- VASP energy: -5.3057 eV/atom
- SG: Fd-3m, No. 227
- Spin magnetization: 0.0 μB/cell
- Crystal system: cubic

The structure in POSCAR format:
```
SnPO2
1.0
0.000 4.020 4.020
4.020 0.000 4.020
4.020 4.020 0.000
Sn P O
2 2 4
Direct
0.125 0.125 0.125
0.875 0.875 0.875
0.375 0.375 0.375
0.625 0.625 0.625
0.000 0.500 0.500
0.500 0.000 0.500
0.500 0.500 0.000
0.500 0.500 0.500
```

4.
Here is a relaxed structure of SnP2O from Alexandria via LeMat-Bulk. Energies are from PBE-GGA.

Results
- Raw formation energy: 0.4 eV per formula unit
- Energy relative to the lowest polymorph listed for this composition: 0 meV/atom
- VASP energy: -4.8347 eV/atom
- SG: I-42d, No. 122
- Spin magnetization: 0.0 μB/cell
- Crystal system: tetragonal

The structure in POSCAR format:
```
SnP2O
1.0
4.936 0.000 0.000
0.000 4.936 0.000
0.000 0.000 12.316
Sn P O
4 8 4
Direct
0.000 0.000 0.000
0.000 0.500 0.250
0.500 0.000 0.750
0.500 0.500 0.500
0.114 0.250 0.625
0.250 0.614 0.875
0.250 0.886 0.375
0.386 0.250 0.125
0.614 0.750 0.125
0.750 0.114 0.375
0.750 0.386 0.875
0.886 0.750 0.625
0.000 0.000 0.500
0.000 0.500 0.750
0.500 0.000 0.250
0.500 0.500 0.000
```

Question: The highest VASP energy belongs to which entry?
Answer: SnP2O